## Ca2Ag2O (PBE)

Data for a relaxed Ca2Ag2O crystal.

* raw formation energy: -0.19 eV/atom
* space group: No. 139
* relative energy among the computed polymorphs: 51 meV/atom
* size of the total moment: 0.000 μB/atom

Cell: 5.8643 5.8643 5.4330 Å, 57.34 57.34 90.00°
With the nearest neighbours (Å) after each atom.
Fractional coordinates of all 5 atoms:
1 Ca 0.7500 0.2500 0.5000  4 Ag 2.97
2 Ca 0.2500 0.7500 0.5000  4 Ag 2.97
3 O 0.0000 0.0000 0.0000  2 Ag 2.21
4 Ag 0.3154 0.3154 0.3691  1 O 2.21
5 Ag 0.6846 0.6846 0.6309  1 O 2.21